Compound: PdPt2O4
Source: OQMD via LeMat-Bulk
Functional: PBE-GGA
Structure: relaxed

Properties
* uncorrected energy: -5.50 eV/atom
* V: 12.78 A^3/atom

Cell and atoms, written as CIF:
```
data_PdPt2O4
_symmetry_space_group_name_H-M 'P 1'
_symmetry_Int_Tables_number 1
_symmetry_space_group_name_Hall 'P 1'
_cell_length_a 6.325
_cell_length_b 6.325
_cell_length_c 6.325
_cell_angle_alpha 60.00
_cell_angle_beta 60.00
_cell_angle_gamma 60.00
loop_
_atom_site_label
_atom_site_fract_x
_atom_site_fract_y
_atom_site_fract_z
Pd1 0.125 0.125 0.125
Pd2 0.875 0.875 0.875
Pt1 0.000 0.500 0.500
Pt2 0.500 0.000 0.500
Pt3 0.500 0.500 0.000
Pt4 0.500 0.500 0.500
O1 0.267 0.267 0.267
O2 0.267 0.267 0.698
O3 0.267 0.698 0.267
O4 0.302 0.733 0.733
O5 0.698 0.267 0.267
O6 0.733 0.302 0.733
O7 0.733 0.733 0.302
O8 0.733 0.733 0.733
```

***

Compound: PdPt2O6
Source: OQMD via LeMat-Bulk
Functional: PBE-GGA
Structure: relaxed

Properties
* uncorrected energy: -5.62 eV/atom
* V: 11.83 A^3/atom

Cell and atoms, written as CIF:
```
data_PdPt2O6
_symmetry_space_group_name_H-M 'P 1'
_symmetry_Int_Tables_number 1
_symmetry_space_group_name_Hall 'P 1'
_cell_length_a 5.416
_cell_length_b 5.416
_cell_length_c 4.191
_cell_angle_alpha 90.00
_cell_angle_beta 90.00
_cell_angle_gamma 120.00
loop_
_atom_site_label
_atom_site_fract_x
_atom_site_fract_y
_atom_site_fract_z
Pd1 0.000 0.000 0.000
Pt1 0.333 0.667 0.000
Pt2 0.667 0.333 0.000
O1 0.000 0.334 0.771
O2 0.000 0.666 0.229
O3 0.334 0.000 0.771
O4 0.334 0.334 0.229
O5 0.666 0.000 0.229
O6 0.666 0.666 0.771
```

***

Compound: PdPtSO
Source: OQMD via LeMat-Bulk
Functional: PBE-GGA
Structure: relaxed

Properties
* uncorrected energy: -4.87 eV/atom
* E above lowest polymorph: 0.4034 eV/atom
* V: 15.97 A^3/atom

Cell and atoms, written as CIF:
```
data_PdPtSO
_symmetry_space_group_name_H-M 'P 1'
_symmetry_Int_Tables_number 1
_symmetry_space_group_name_Hall 'P 1'
_cell_length_a 4.396
_cell_length_b 4.396
_cell_length_c 6.610
_cell_angle_alpha 90.00
_cell_angle_beta 90.00
_cell_angle_gamma 90.00
loop_
_atom_site_label
_atom_site_fract_x
_atom_site_fract_y
_atom_site_fract_z
Pd1 0.250 0.250 0.217
Pd2 0.750 0.750 0.783
Pt1 0.250 0.250 0.802
Pt2 0.750 0.750 0.198
S1 0.250 0.750 0.000
S2 0.750 0.250 0.000
O1 0.250 0.250 0.517
O2 0.750 0.750 0.483
```

***

Compound: PdPtSO
Source: OQMD via LeMat-Bulk
Functional: PBE-GGA
Structure: relaxed

Properties
* uncorrected energy: -5.23 eV/atom
* E above lowest polymorph: 0.0418 eV/atom
* V: 14.59 A^3/atom

Cell and atoms, written as CIF:
```
data_PdPtSO
_symmetry_space_group_name_H-M 'P 1'
_symmetry_Int_Tables_number 1
_symmetry_space_group_name_Hall 'P 1'
_cell_length_a 5.908
_cell_length_b 6.847
_cell_length_c 5.770
_cell_angle_alpha 90.00
_cell_angle_beta 90.00
_cell_angle_gamma 90.00
loop_
_atom_site_label
_atom_site_fract_x
_atom_site_fract_y
_atom_site_fract_z
Pd1 0.005 0.183 0.000
Pd2 0.495 0.183 0.500
Pd3 0.505 0.817 0.000
Pd4 0.995 0.817 0.500
Pt1 0.112 0.661 0.106
Pt2 0.388 0.661 0.606
Pt3 0.612 0.339 0.106
Pt4 0.888 0.339 0.606
S1 0.104 0.130 0.404
S2 0.396 0.130 0.904
S3 0.604 0.870 0.404
S4 0.896 0.870 0.904
O1 0.170 0.490 0.793
O2 0.330 0.490 0.293
O3 0.670 0.510 0.793
O4 0.830 0.510 0.293
```